{"formula": "CdBi2B2", "functional": "PBE", "state": "optimized geometry", "polymorph_energy_mev_per_atom": 0.0, "n_ef_per_ev_fu": 2.03, "magmom_total_mub_per_fu": 0.0, "total_energy_ev_per_atom": -3.61, "lattice": [[-2.138, -3.682, -6.365], [6.542, -3.980, 0.104], [-1.630, -2.625, 2.066]], "species": ["Bi", "Bi", "Bi", "Bi", "B", "B", "B", "B", "Cd", "Cd"], "fractional_positions": [[0.281, 0.781, 0.500], [0.719, 0.219, 0.500], [0.781, 0.719, 0.500], [0.219, 0.281, 0.500], [0.074, 0.426, 0.000], [0.426, 0.926, 0.000], [0.926, 0.574, 0.000], [0.574, 0.074, 0.000], [0.000, 0.000, 0.000], [0.500, 0.500, 0.000]]}